First-principles (PBE) data for a relaxed structure of MnOsAu2, as listed in Alexandria via LeMat-Bulk.

Cell lengths 2.781, 2.781, 8.002 Å; angles 90.00, 90.00, 90.00 degrees
Positions (direct):
Au 0.000 0.000 0.986
Au 0.500 0.500 0.274
Mn 0.000 0.000 0.529
Os 0.500 0.500 0.711

## Properties
calculated volume = 15.47 A^3/atom
E_form = 0.22 eV/atom
energy above the lowest structure with this stoichiometry = 0.000 eV per atom
DFT total energy = -26.06 eV for the cell shown
calculated density = 17.2 g cm⁻³